Compound: LiVOF3
Source: Alexandria via LeMat-Bulk
Functional: GGA+U
Structure: relaxed Values from VASP.

```
&SYSTEM
  ibrav = 0, nat = 24, ntyp = 4
/
ATOMIC_SPECIES
F 19.00 F.upf
V 50.94 V.upf
Li 6.94 Li.upf
O 16.00 O.upf
CELL_PARAMETERS angstrom
4.7966 0.0000 0.0000
0.0000 4.5043 -0.0005
0.0000 4.4025 11.8063
ATOMIC_POSITIONS angstrom
F 1.9924 3.3293 0.7963
F 2.0976 7.8521 9.4949
F 2.8042 5.5774 11.0094
F 4.3614 7.7721 10.9980
F 4.3907 3.3762 5.1063
F 4.4959 3.2559 8.2140
F 0.4059 5.5306 6.6995
F 2.6990 1.0547 2.3109
F 1.9631 3.3359 6.7110
F 2.8335 5.5709 5.0948
F 0.4352 1.1346 0.8078
F 0.3007 5.6508 3.5918
V 3.4450 4.3457 3.7606
V 1.3517 4.5610 8.0452
V 3.7500 6.5470 9.6638
V 1.0467 2.3598 2.1420
Li 3.6173 6.7415 6.5752
Li 1.1794 2.1653 5.2305
Li 3.5777 4.5402 0.6721
Li 1.2189 4.3665 11.1337
O 0.2818 5.4903 9.4737
O 4.5149 3.4164 2.3321
O 2.1165 3.2891 3.5705
O 2.6801 5.6177 8.2353
```

* relative energy among the computed polymorphs: 10 kJ/mol of formula units
* symmetry: P2_1/c, No. 14
* crystal system: monoclinic
* V: 10.63 A^3/atom
* VASP energy: -5.95 eV per atom